(1)
Material: YRe2HgRu
Method: DFT, PBE-GGA
State: optimized geometry

It has space group P4/mmm (No. 123), with a = 4.746 Å, b = 4.746 Å, c = 5.241 Å, α = 90.00°, β = 90.00° and γ = 90.00°. The distinct sites, in fractional coordinates, are Y at (0.000, 0.000, 0.000), Re at (0.000, 0.500, 0.000), Hg at (0.000, 0.000, 0.500) and Ru at (0.500, 0.500, 0.500).

As for the total DFT energy (no corrections): -5.19 eV per atom.

(2)
Material: SrTmMg2In4
Method: DFT, PBE-GGA
State: optimized geometry

It has space group R-3m (No. 166, hexagonal axes), with a = 5.2342 Å, b = 5.2342 Å, c = 26.5527 Å, α = 90.00°, β = 90.00° and γ = 120.00°. The distinct sites, in fractional coordinates, are Sr at (0.0000, 0.0000, 0.0000), Tm at (0.0000, 0.0000, 0.5000), Mg at (0.0000, 0.0000, 0.2479), In at (0.0000, 0.0000, 0.1270) and In at (0.0000, 0.0000, 0.3815).

As for the total DFT energy (no corrections): -2.80 eV per atom.

(3)
Material: Mn2AsIr
Method: DFT, PBE-GGA
State: optimized geometry

It has space group P4/mmm (No. 123), with a = 2.799 Å, b = 2.799 Å, c = 6.396 Å, α = 90.00°, β = 90.00° and γ = 90.00°. The distinct sites, in fractional coordinates, are Mn at (0.000, 0.000, 0.226), As at (0.500, 0.500, 0.000) and Ir at (0.500, 0.500, 0.500).

As for the total DFT energy (no corrections): -7.93 eV per atom.

(4)
Material: CrAs2PbBr
Method: DFT, PBE-GGA
State: optimized geometry

It has space group P4/mmm (No. 123), with a = 4.744 Å, b = 4.744 Å, c = 5.458 Å, α = 90.00°, β = 90.00° and γ = 90.00°. The distinct sites, in fractional coordinates, are Cr at (0.000, 0.000, 0.000), As at (0.000, 0.500, 0.000), Pb at (0.500, 0.500, 0.500) and Br at (0.000, 0.000, 0.500).

As for the uncorrected formation energy: 0.121 eV per atom.

(5)
Material: La2BiAu2
Method: DFT, PBE-GGA
State: optimized geometry

It has space group P4/mbm (No. 127), with a = 8.765 Å, b = 8.765 Å, c = 3.823 Å, α = 90.00°, β = 90.00° and γ = 90.00°. The distinct sites, in fractional coordinates, are La at (0.167, 0.333, 0.000), Bi at (0.000, 0.000, 0.000) and Au at (0.125, 0.625, 0.500).

As for the total DFT energy (no corrections): -4.76 eV per atom.

(6)
Material: CsLiCaH
Method: DFT, PBE-GGA
State: optimized geometry

It has space group Cm (No. 8), with a = 19.608 Å, b = 3.892 Å, c = 3.910 Å, α = 90.00°, β = 101.32° and γ = 90.00°. The distinct sites, in fractional coordinates, are Cs at (0.000, 0.000, 0.000), Li at (0.350, 0.000, 0.353), Ca at (0.224, 0.500, 0.730) and H at (0.444, 0.000, 0.444).

As for the total DFT energy (no corrections): -1.99 eV per atom.

(7)
Material: NpVRu
Method: DFT, PBE-GGA
State: optimized geometry

It has space group P3m1 (No. 156), with a = 4.4138 Å, b = 4.4138 Å, c = 2.7583 Å, α = 90.00°, β = 90.00° and γ = 120.00°. The distinct sites, in fractional coordinates, are Np at (0.0000, 0.0000, 0.0000), V at (0.3333, 0.6667, 0.2097) and Ru at (0.6667, 0.3333, 0.6983).

As for the total DFT energy (no corrections): -10.30 eV per atom.

(8)
Material: ErIn2Rh4
Method: DFT, PBE-GGA
State: optimized geometry

It has space group I4/mmm (No. 139), with a = 6.429 Å, b = 6.429 Å, c = 6.323 Å, α = 90.00°, β = 90.00° and γ = 90.00°. The distinct sites, in fractional coordinates, are Er at (0.000, 0.000, 0.000), In at (0.000, 0.500, 0.000) and Rh at (0.250, 0.250, 0.250).

As for the total DFT energy (no corrections): -5.93 eV per atom.

Let's list magnetization in order: 0.00 0.00 0.00 2.04 0.00 0.00 1.25 0.00 μB/cell.
Let's list mass density in order: 10.7 6.0 12.5 6.6 10.0 2.1 13.9 10.3 g cm⁻³.